Below is a relaxed Cd4AsPt crystal, with properties calculated at the GGA-PBE level.

abc: 5.610 5.610 5.610
angles: 60.00 60.00 60.00
Sites, in units of the cell vectors:
Cd  0.874  0.375  0.375
Cd  0.375  0.375  0.874
Cd  0.375  0.375  0.375
Cd  0.375  0.874  0.375
Pt  0.750  0.750  0.750
As  0.000  0.000  0.000

Values from the calculation:
The formation energy is 0.268 eV/atom.